Record 1
Entry from Alexandria via LeMat-Bulk: a geometry-optimized Li4CeAu5 structure (PBE).

Computed properties:
Spin magnetization in μB per atom: 0.109

a b c (Å): 3.275 3.275 16.032
angles (deg): 90.00 90.00 90.00
Atoms (fractional coordinates):
Li (0.000, 0.000, 0.091)
Li (0.000, 0.000, 0.273)
Li (0.000, 0.000, 0.727)
Li (0.000, 0.000, 0.909)
Ce (0.000, 0.000, 0.500)
Au (0.500, 0.500, 0.000)
Au (0.500, 0.500, 0.183)
Au (0.500, 0.500, 0.366)
Au (0.500, 0.500, 0.634)
Au (0.500, 0.500, 0.817)

Record 2
Entry from Alexandria via LeMat-Bulk: a geometry-optimized Li2Ce3Au4 structure (PBE).

Computed properties:
Polymorph energy (0 for the lowest one) in kcal/mol of atoms: 1.90
Spin magnetization in μB per atom: 0.363

a b c (Å): 7.818 7.818 7.144
angles (deg): 98.13 98.13 84.67
Atoms (fractional coordinates):
Li (0.021, 0.325, 0.447)
Li (0.325, 0.021, 0.947)
Li (0.675, 0.979, 0.053)
Li (0.979, 0.675, 0.553)
Ce (0.101, 0.899, 0.250)
Ce (0.239, 0.486, 0.878)
Ce (0.486, 0.239, 0.378)
Ce (0.514, 0.761, 0.622)
Ce (0.761, 0.514, 0.122)
Ce (0.899, 0.101, 0.750)
Au (0.104, 0.250, 0.113)
Au (0.236, 0.554, 0.364)
Au (0.250, 0.104, 0.613)
Au (0.446, 0.764, 0.136)
Au (0.554, 0.236, 0.864)
Au (0.750, 0.896, 0.387)
Au (0.764, 0.446, 0.636)
Au (0.896, 0.750, 0.887)

Record 3
Entry from Alexandria via LeMat-Bulk: a geometry-optimized Li4CeAu2 structure (PBE).

Computed properties:
Polymorph energy (0 for the lowest one) in kcal/mol of atoms: 0.52
Spin magnetization in μB per atom: 0.191

a b c (Å): 8.247 8.247 8.247
angles (deg): 31.62 31.62 31.62
Atoms (fractional coordinates):
Li (0.066, 0.066, 0.066)
Li (0.357, 0.357, 0.357)
Li (0.643, 0.643, 0.643)
Li (0.934, 0.934, 0.934)
Ce (0.500, 0.500, 0.500)
Au (0.244, 0.244, 0.244)
Au (0.756, 0.756, 0.756)

Record 4
Entry from Alexandria via LeMat-Bulk: a geometry-optimized LiCeAu11 structure (PBE).

Computed properties:
Spin magnetization in μB per atom: 0.079

a b c (Å): 7.343 7.343 7.222
angles (deg): 98.22 98.22 135.88
Atoms (fractional coordinates):
Li (0.000, 0.000, 0.000)
Ce (0.500, 0.500, 0.500)
Au (0.000, 0.500, 0.500)
Au (0.006, 0.798, 0.282)
Au (0.141, 0.477, 0.145)
Au (0.202, 0.994, 0.718)
Au (0.477, 0.141, 0.145)
Au (0.500, 0.000, 0.500)
Au (0.500, 0.500, 0.000)
Au (0.523, 0.859, 0.855)
Au (0.798, 0.006, 0.282)
Au (0.859, 0.523, 0.855)
Au (0.994, 0.202, 0.718)

Record 5
Entry from Alexandria via LeMat-Bulk: a geometry-optimized Li2Ce3Au6 structure (PBE).

Computed properties:
Spin magnetization in μB per atom: 0.293

a b c (Å): 12.031 12.031 12.031
angles (deg): 157.84 157.84 31.55
Atoms (fractional coordinates):
Li (0.056, 0.056, 0.000)
Li (0.944, 0.944, 0.000)
Ce (0.310, 0.310, 0.000)
Ce (0.500, 0.500, 0.000)
Ce (0.690, 0.690, 0.000)
Au (0.096, 0.596, 0.500)
Au (0.181, 0.181, 0.000)
Au (0.404, 0.904, 0.500)
Au (0.596, 0.096, 0.500)
Au (0.819, 0.819, 0.000)
Au (0.904, 0.404, 0.500)

Record 6
Entry from Alexandria via LeMat-Bulk: a geometry-optimized Li4Ce5Au4 structure (PBE).

Computed properties:
Spin magnetization in μB per atom: 0.486

a b c (Å): 8.950 8.950 8.950
angles (deg): 92.78 92.78 154.55
Atoms (fractional coordinates):
Li (0.076, 0.593, 0.669)
Li (0.407, 0.076, 0.484)
Li (0.593, 0.924, 0.516)
Li (0.924, 0.407, 0.331)
Ce (0.119, 0.207, 0.326)
Ce (0.207, 0.881, 0.088)
Ce (0.500, 0.500, 0.000)
Ce (0.793, 0.119, 0.912)
Ce (0.881, 0.793, 0.674)
Au (0.240, 0.430, 0.670)
Au (0.430, 0.760, 0.190)
Au (0.570, 0.240, 0.810)
Au (0.760, 0.570, 0.330)

Record 7
Entry from Alexandria via LeMat-Bulk: a geometry-optimized LiCe2Au4 structure (PBE).

Computed properties:
Spin magnetization in μB per atom: 0.283

a b c (Å): 6.782 6.782 3.811
angles (deg): 90.00 90.00 90.00
Atoms (fractional coordinates):
Li (0.000, 0.000, 0.000)
Ce (0.000, 0.500, 0.500)
Ce (0.500, 0.000, 0.500)
Au (0.287, 0.287, 0.000)
Au (0.287, 0.713, 0.000)
Au (0.713, 0.287, 0.000)
Au (0.713, 0.713, 0.000)

Record 8
Entry from Alexandria via LeMat-Bulk: a geometry-optimized Li2Ce2Au3 structure (PBE).

Computed properties:
Spin magnetization in μB per atom: 0.335

a b c (Å): 3.829 23.483 3.207
angles (deg): 90.00 90.00 90.00
Atoms (fractional coordinates):
Li (0.000, 0.218, 0.000)
Li (0.000, 0.782, 0.000)
Li (0.500, 0.282, 0.000)
Li (0.500, 0.718, 0.000)
Ce (0.000, 0.084, 0.000)
Ce (0.000, 0.916, 0.000)
Ce (0.500, 0.416, 0.000)
Ce (0.500, 0.584, 0.000)
Au (0.000, 0.329, 0.500)
Au (0.000, 0.500, 0.500)
Au (0.000, 0.671, 0.500)
Au (0.500, 0.000, 0.500)
Au (0.500, 0.171, 0.500)
Au (0.500, 0.829, 0.500)

Record 9
Entry from Alexandria via LeMat-Bulk: a geometry-optimized Li3CeAu9 structure (PBE).

Computed properties:
Spin magnetization in μB per atom: 0.071

a b c (Å): 7.123 7.123 7.126
angles (deg): 97.24 97.24 136.24
Atoms (fractional coordinates):
Li (0.000, 0.000, 0.000)
Li (0.000, 0.500, 0.500)
Li (0.500, 0.000, 0.500)
Ce (0.500, 0.500, 0.500)
Au (0.019, 0.797, 0.288)
Au (0.168, 0.523, 0.171)
Au (0.203, 0.981, 0.712)
Au (0.477, 0.832, 0.829)
Au (0.500, 0.500, 0.000)
Au (0.523, 0.168, 0.171)
Au (0.797, 0.019, 0.288)
Au (0.832, 0.477, 0.829)
Au (0.981, 0.203, 0.712)

Record 10
Entry from Alexandria via LeMat-Bulk: a geometry-optimized Li3Ce2Au4 structure (PBE).

Computed properties:
Spin magnetization in μB per atom: 0.262

a b c (Å): 8.454 8.454 8.032
angles (deg): 90.00 90.00 140.42
Atoms (fractional coordinates):
Li (0.000, 0.000, 0.000)
Li (0.037, 0.463, 0.250)
Li (0.463, 0.037, 0.750)
Li (0.500, 0.500, 0.500)
Li (0.537, 0.963, 0.250)
Li (0.963, 0.537, 0.750)
Ce (0.115, 0.885, 0.412)
Ce (0.385, 0.615, 0.912)
Ce (0.615, 0.385, 0.088)
Ce (0.885, 0.115, 0.588)
Au (0.188, 0.812, 0.042)
Au (0.203, 0.297, 0.250)
Au (0.297, 0.203, 0.750)
Au (0.312, 0.688, 0.542)
Au (0.688, 0.312, 0.458)
Au (0.703, 0.797, 0.250)
Au (0.797, 0.703, 0.750)
Au (0.812, 0.188, 0.958)

Record 11
Entry from Alexandria via LeMat-Bulk: a geometry-optimized Li2CeAu3 structure (PBE).

Computed properties:
Spin magnetization in μB per atom: 0.187

a b c (Å): 4.520 4.520 13.344
angles (deg): 90.00 90.00 120.00
Atoms (fractional coordinates):
Li (0.333, 0.667, 0.068)
Li (0.333, 0.667, 0.432)
Li (0.667, 0.333, 0.568)
Li (0.667, 0.333, 0.932)
Ce (0.000, 0.000, 0.250)
Ce (0.000, 0.000, 0.750)
Au (0.000, 0.000, 0.000)
Au (0.000, 0.000, 0.500)
Au (0.333, 0.667, 0.628)
Au (0.333, 0.667, 0.872)
Au (0.667, 0.333, 0.128)
Au (0.667, 0.333, 0.372)

Record 12
Entry from Alexandria via LeMat-Bulk: a geometry-optimized Li2Ce3Au3 structure (PBE).

Computed properties:
Spin magnetization in μB per atom: 0.445

a b c (Å): 3.860 4.765 20.089
angles (deg): 90.00 90.00 90.00
Atoms (fractional coordinates):
Li (0.000, 0.000, 0.245)
Li (0.000, 0.000, 0.755)
Li (0.500, 0.500, 0.255)
Li (0.500, 0.500, 0.745)
Ce (0.000, 0.000, 0.000)
Ce (0.000, 0.500, 0.122)
Ce (0.000, 0.500, 0.878)
Ce (0.500, 0.000, 0.378)
Ce (0.500, 0.000, 0.622)
Ce (0.500, 0.500, 0.500)
Au (0.000, 0.000, 0.500)
Au (0.000, 0.500, 0.349)
Au (0.000, 0.500, 0.651)
Au (0.500, 0.000, 0.151)
Au (0.500, 0.000, 0.849)
Au (0.500, 0.500, 0.000)

Record 13
Entry from Alexandria via LeMat-Bulk: a geometry-optimized Li3CeAu4 structure (PBE).

Computed properties:
Spin magnetization in μB per atom: 0.118

a b c (Å): 8.842 8.842 8.842
angles (deg): 29.65 29.65 29.65
Atoms (fractional coordinates):
Li (0.000, 0.000, 0.000)
Li (0.265, 0.265, 0.265)
Li (0.735, 0.735, 0.735)
Ce (0.500, 0.500, 0.500)
Au (0.103, 0.103, 0.103)
Au (0.373, 0.373, 0.373)
Au (0.627, 0.627, 0.627)
Au (0.897, 0.897, 0.897)

Record 14
Entry from Alexandria via LeMat-Bulk: a geometry-optimized LiCe2Au7 structure (PBE).

Computed properties:
Spin magnetization in μB per atom: 0.243

a b c (Å): 6.913 6.913 6.913
angles (deg): 60.00 60.00 60.00
Atoms (fractional coordinates):
Li (0.000, 0.000, 0.000)
Ce (0.250, 0.250, 0.250)
Ce (0.750, 0.750, 0.750)
Au (0.231, 0.231, 0.769)
Au (0.231, 0.769, 0.231)
Au (0.231, 0.769, 0.769)
Au (0.500, 0.500, 0.500)
Au (0.769, 0.231, 0.231)
Au (0.769, 0.231, 0.769)
Au (0.769, 0.769, 0.231)

Record 15
Entry from Alexandria via LeMat-Bulk: a geometry-optimized Li5CeAu4 structure (PBE).

Computed properties:
Spin magnetization in μB per atom: 0.110

a b c (Å): 3.248 3.248 16.133
angles (deg): 90.00 90.00 90.00
Atoms (fractional coordinates):
Li (0.000, 0.000, 0.000)
Li (0.000, 0.000, 0.182)
Li (0.000, 0.000, 0.354)
Li (0.000, 0.000, 0.646)
Li (0.000, 0.000, 0.818)
Ce (0.500, 0.500, 0.500)
Au (0.500, 0.500, 0.092)
Au (0.500, 0.500, 0.277)
Au (0.500, 0.500, 0.723)
Au (0.500, 0.500, 0.908)

Record 16
Entry from Alexandria via LeMat-Bulk: a geometry-optimized LiCeAu6 structure (PBE).

Computed properties:
Spin magnetization in μB per atom: 0.087

a b c (Å): 8.699 4.557 8.936
angles (deg): 90.00 117.96 90.00
Atoms (fractional coordinates):
Li (0.000, 0.000, 0.000)
Li (0.500, 0.500, 0.000)
Ce (0.000, 0.500, 0.500)
Ce (0.500, 0.000, 0.500)
Au (0.091, 0.000, 0.327)
Au (0.148, 0.500, 0.893)
Au (0.233, 0.500, 0.249)
Au (0.267, 0.000, 0.751)
Au (0.352, 0.000, 0.107)
Au (0.409, 0.500, 0.673)
Au (0.591, 0.500, 0.327)
Au (0.648, 0.000, 0.893)
Au (0.733, 0.000, 0.249)
Au (0.767, 0.500, 0.751)
Au (0.852, 0.500, 0.107)
Au (0.909, 0.000, 0.673)

Record 17
Entry from Alexandria via LeMat-Bulk: a geometry-optimized Li4CeAu2 structure (PBE).

Computed properties:
Polymorph energy (0 for the lowest one) in kcal/mol of atoms: 0.00
Spin magnetization in μB per atom: 0.194

a b c (Å): 7.889 7.889 4.320
angles (deg): 90.00 90.00 90.00
Atoms (fractional coordinates):
Li (0.096, 0.350, 0.000)
Li (0.150, 0.596, 0.500)
Li (0.350, 0.096, 0.000)
Li (0.404, 0.850, 0.500)
Li (0.596, 0.150, 0.500)
Li (0.650, 0.904, 0.000)
Li (0.850, 0.404, 0.500)
Li (0.904, 0.650, 0.000)
Ce (0.000, 0.000, 0.500)
Ce (0.500, 0.500, 0.000)
Au (0.212, 0.788, 0.000)
Au (0.288, 0.288, 0.500)
Au (0.712, 0.712, 0.500)
Au (0.788, 0.212, 0.000)

Record 18
Entry from Alexandria via LeMat-Bulk: a geometry-optimized Li2CeAu2 structure (PBE).

Computed properties:
Polymorph energy (0 for the lowest one) in kcal/mol of atoms: 0.00
Spin magnetization in μB per atom: 0.194

a b c (Å): 3.945 3.945 13.343
angles (deg): 90.00 90.00 90.00
Atoms (fractional coordinates):
Li (0.000, 0.500, 0.250)
Li (0.000, 0.500, 0.750)
Li (0.500, 0.000, 0.250)
Li (0.500, 0.000, 0.750)
Ce (0.000, 0.000, 0.000)
Ce (0.500, 0.500, 0.500)
Au (0.000, 0.000, 0.391)
Au (0.000, 0.000, 0.609)
Au (0.500, 0.500, 0.109)
Au (0.500, 0.500, 0.891)

Record 19
Entry from Alexandria via LeMat-Bulk: a geometry-optimized Li2Ce3Au4 structure (PBE).

Computed properties:
Polymorph energy (0 for the lowest one) in kcal/mol of atoms: 0.00
Spin magnetization in μB per atom: 0.288

a b c (Å): 5.871 5.871 8.822
angles (deg): 115.33 115.33 47.24
Atoms (fractional coordinates):
Li (0.163, 0.163, 0.329)
Li (0.837, 0.837, 0.671)
Ce (0.138, 0.138, 0.676)
Ce (0.500, 0.500, 0.000)
Ce (0.862, 0.862, 0.324)
Au (0.217, 0.217, 0.070)
Au (0.422, 0.422, 0.607)
Au (0.578, 0.578, 0.393)
Au (0.783, 0.783, 0.930)

Record 20
Entry from Alexandria via LeMat-Bulk: a geometry-optimized LiCeLuAu structure (PBE).

Computed properties:
Spin magnetization in μB per atom: 0.183

a b c (Å): 7.239 7.239 7.239
angles (deg): 90.00 90.00 90.00
Atoms (fractional coordinates):
Li (0.000, 0.000, 0.000)
Li (0.000, 0.500, 0.500)
Li (0.500, 0.000, 0.500)
Li (0.500, 0.500, 0.000)
Ce (0.250, 0.250, 0.250)
Ce (0.250, 0.750, 0.750)
Ce (0.750, 0.250, 0.750)
Ce (0.750, 0.750, 0.250)
Lu (0.250, 0.250, 0.750)
Lu (0.250, 0.750, 0.250)
Lu (0.750, 0.250, 0.250)
Lu (0.750, 0.750, 0.750)
Au (0.000, 0.000, 0.500)
Au (0.000, 0.500, 0.000)
Au (0.500, 0.000, 0.000)
Au (0.500, 0.500, 0.500)

Record 21
Entry from Alexandria via LeMat-Bulk: a geometry-optimized Li2CeMgAu4 structure (PBE).

Computed properties:
Spin magnetization in μB per atom: 0.113

a b c (Å): 8.971 8.971 8.971
angles (deg): 29.61 29.61 29.61
Atoms (fractional coordinates):
Li (0.237, 0.237, 0.237)
Li (0.763, 0.763, 0.763)
Ce (0.000, 0.000, 0.000)
Mg (0.500, 0.500, 0.500)
Au (0.125, 0.125, 0.125)
Au (0.395, 0.395, 0.395)
Au (0.605, 0.605, 0.605)
Au (0.875, 0.875, 0.875)

Record 22
Entry from Alexandria via LeMat-Bulk: a geometry-optimized LiCeMg2Au2 structure (PBE).

Computed properties:
Spin magnetization in μB per atom: 0.305

a b c (Å): 4.433 4.433 15.204
angles (deg): 90.00 90.00 90.00
Atoms (fractional coordinates):
Li (0.000, 0.000, 0.000)
Li (0.500, 0.500, 0.500)
Ce (0.000, 0.000, 0.500)
Ce (0.500, 0.500, 0.000)
Mg (0.000, 0.500, 0.250)
Mg (0.000, 0.500, 0.750)
Mg (0.500, 0.000, 0.250)
Mg (0.500, 0.000, 0.750)
Au (0.000, 0.000, 0.150)
Au (0.000, 0.000, 0.850)
Au (0.500, 0.500, 0.350)
Au (0.500, 0.500, 0.650)

The records above yield energy of formation from the pure elements values of -553, -472, -390, -266, -504, -390, -476, -493, -437, -516, -568, -425, -578, -157, -400, -439, -412, -536, -555, -229, -584, -109 meV per atom, respectively.